NbCdSi2: PBEsol geometry, SCAN.

```
8
Lattice="-0.629 -5.314 1.921 2.341 -4.380 -2.935 3.908 -2.191 3.633" Properties=species:S:1:pos:R:3 pbc="T T T"
Cd 0.000 0.000 0.000
Cd 2.652 -7.271 1.790
Si 4.522 -9.040 3.822
Si 0.940 -4.175 -0.722
Si 1.587 -4.422 3.013
Si 4.190 -6.135 -0.873
Nb 2.967 -4.614 0.830
Nb -0.315 -2.657 0.961
```

Formation energy from raw total energies ... 0.573 eV per atom
Energy ... -20.321 eV per atom